{
  "formula": "NbOsRuSeS",
  "functional": "PBE",
  "state": "relaxed",
  "de_polymorph_ev_per_atom": 0.134,
  "formation_energy_uncorrected_ev_per_fu": -0.4,
  "dos_at_fermi_per_ev_atom": 0.73,
  "lattice": [[-3.7811, 6.0236, 1.1991], [-1.5174, -1.4336, 2.4171], [8.3611, -1.4825, 4.3695]],
  "species": ["Ru", "Ru", "Nb", "Nb", "Os", "Os", "S", "S", "Se", "Se"],
  "fractional_positions": [[0.8031, 0.0000, 0.8455], [0.8031, 0.5000, 0.3455], [0.4579, 0.0000, 0.5289], [0.4579, 0.5000, 0.0289], [0.7802, 0.0000, 0.0953], [0.7802, 0.5000, 0.5953], [0.0511, 0.0000, 0.3711], [0.0511, 0.5000, 0.8711], [0.4612, 0.0000, 0.2496], [0.4612, 0.5000, 0.7496]]
}